Record 1
Here is a relaxed NaPmCo crystal from OQMD via LeMat-Bulk. Energies are from GGA-PBE.

Cell lengths 4.6803, 4.6803, 4.6803 Å; angles 60.00, 60.00, 60.00 degrees
Element x y z (fractional)
1 Na 0.2500 0.2500 0.2500
2 Co 0.0000 0.0000 0.0000
3 Pm 0.7500 0.7500 0.7500

## Properties
SG   F-43m, No. 216
Calculated volume   72.5 Å³ per cell



Record 2
Here is a relaxed NaCoPt crystal from OQMD via LeMat-Bulk. Energies are from GGA-PBE.

Cell lengths 4.2024, 4.2024, 4.2024 Å; angles 60.00, 60.00, 60.00 degrees
Element x y z (fractional)
1 Co 0.0000 0.0000 0.0000
2 Na 0.2500 0.2500 0.2500
3 Pt 0.7500 0.7500 0.7500

## Properties
SG   F-43m, No. 216
Calculated volume   52.5 Å³ per cell



Record 3
Here is a relaxed NaCoPt crystal from OQMD via LeMat-Bulk. Energies are from GGA-PBE.

Cell lengths 4.2567, 4.2567, 4.2567 Å; angles 60.00, 60.00, 60.00 degrees
Element x y z (fractional)
1 Na 0.0000 0.0000 0.0000
2 Pt 0.7500 0.7500 0.7500
3 Co 0.2500 0.2500 0.2500

## Properties
SG   F-43m, No. 216
Calculated volume   54.5 Å³ per cell



Record 4
Here is a relaxed RbNaCoTc crystal from OQMD via LeMat-Bulk. Energies are from GGA-PBE.

Cell lengths 5.2113, 5.2113, 5.2113 Å; angles 60.00, 60.00, 60.00 degrees
Element x y z (fractional)
1 Na 0.7500 0.7500 0.7500
2 Co 0.5000 0.5000 0.5000
3 Tc 0.0000 0.0000 0.0000
4 Rb 0.2500 0.2500 0.2500

## Properties
SG   F-43m, No. 216
Calculated volume   100.1 Å³ per cell



Record 5
Here is a relaxed RbNaCoTc crystal from OQMD via LeMat-Bulk. Energies are from GGA-PBE.

Cell lengths 4.9757, 4.9757, 4.9757 Å; angles 60.00, 60.00, 60.00 degrees
Element x y z (fractional)
1 Na 0.7500 0.7500 0.7500
2 Co 0.2500 0.2500 0.2500
3 Tc 0.0000 0.0000 0.0000
4 Rb 0.5000 0.5000 0.5000

## Properties
SG   F-43m, No. 216
Calculated volume   87.1 Å³ per cell



Record 6
Here is a relaxed RbNaCoTc crystal from OQMD via LeMat-Bulk. Energies are from GGA-PBE.

Cell lengths 4.7519, 4.7519, 4.7519 Å; angles 60.00, 60.00, 60.00 degrees
Element x y z (fractional)
1 Rb 0.5000 0.5000 0.5000
2 Co 0.0000 0.0000 0.0000
3 Na 0.7500 0.7500 0.7500
4 Tc 0.2500 0.2500 0.2500

## Properties
SG   F-43m, No. 216
Calculated volume   75.9 Å³ per cell



Record 7
Here is a relaxed Na6CoS4 crystal from OQMD via LeMat-Bulk. Energies are from GGA-PBE.

Cell lengths 8.8715, 8.8715, 6.8611 Å; angles 90.00, 90.00, 120.00 degrees
Last column: magnetic moment on the atom in μB.
Element x y z (fractional)
1 Co 0.6667 0.3334 0.7508  0.80
2 Co 0.3333 0.6666 0.2508  0.80
3 Na 0.8530 0.1470 0.0397  0.00
4 Na 0.1470 0.8530 0.5397  0.00
5 Na 0.5311 0.0621 0.3663  0.00
6 Na 0.1470 0.2941 0.5397  0.00
7 Na 0.7059 0.8530 0.5397  0.00
8 Na 0.9379 0.4689 0.3663  0.00
9 Na 0.4689 0.5311 0.8663  0.00
10 Na 0.2941 0.1470 0.0397  0.00
11 Na 0.5311 0.4689 0.3663  0.00
12 Na 0.0621 0.5311 0.8663  0.00
13 Na 0.8530 0.7059 0.0397  0.00
14 Na 0.4689 0.9379 0.8663  0.00
15 S 0.6667 0.3334 0.0871  -0.04
16 S 0.6199 0.8100 0.1442  0.03
17 S 0.8100 0.1900 0.6442  0.04
18 S 0.3333 0.6666 0.5871  -0.04
19 S 0.3801 0.1900 0.6442  0.03
20 S 0.8100 0.6200 0.6442  0.04
21 S 0.1900 0.8100 0.1442  0.04
22 S 0.1900 0.3800 0.1442  0.04

## Properties
SG   P6_3mc, No. 186
Calculated volume   467.6 Å³ per cell



Record 8
Here is a relaxed Na4CoS4 crystal from OQMD via LeMat-Bulk. Energies are from GGA-PBE.

Cell lengths 7.7217, 7.7217, 6.6253 Å; angles 90.00, 90.00, 90.00 degrees
Last column: magnetic moment on the atom in μB.
Element x y z (fractional)
1 Na 0.7018 0.9128 0.4658  0.00
2 Na 0.7982 0.4128 0.0342  0.00
3 Na 0.4128 0.2018 0.9658  0.00
4 Na 0.5872 0.7982 0.9658  0.00
5 Na 0.9128 0.2982 0.5342  0.00
6 Na 0.2982 0.0872 0.4658  0.00
7 Na 0.2018 0.5872 0.0342  0.00
8 Na 0.0872 0.7018 0.5342  0.00
9 S 0.7235 0.5837 0.6664  0.01
10 S 0.2764 0.4163 0.6664  0.01
11 S 0.9163 0.7765 0.1664  0.00
12 S 0.7765 0.0837 0.8336  0.01
13 S 0.0837 0.2236 0.1664  0.01
14 S 0.4163 0.7235 0.3336  0.00
15 S 0.2236 0.9163 0.8336  0.01
16 S 0.5837 0.2764 0.3336  0.01
17 Co 0.0000 0.0000 0.0000  0.79
18 Co 0.5000 0.5000 0.5000  0.80

## Properties
SG   P-42_1c, No. 114
Calculated volume   395.0 Å³ per cell



Number 1: VASP energy -3.85 eV per atom. Number 2: VASP energy -4.33 eV per atom. Number 3: VASP energy -3.67 eV per atom. Number 4: VASP energy -3.10 eV per atom. Number 5: VASP energy -3.46 eV per atom. Number 6: VASP energy -3.41 eV per atom. Number 7: VASP energy -3.71 eV per atom. Number 8: VASP energy -3.92 eV per atom.